[1]
{
  "formula": "Sn3Pt2S3",
  "functional": "PBE",
  "state": "relaxed",
  "spacegroup": "R-3",
  "formation_energy_uncorrected_ev_per_atom": -0.42,
  "density_g_cm3": 7.64,
  "magnetic_moment_mub_per_fu": 0.00,
  "lattice_angstrom": [[-4.9042, 1.1008, -7.4844], [-7.5288, -1.6047, 4.6927], [-0.7542, 8.8031, 1.7933]],
  "species": ["Sn", "Sn", "Sn", "Sn", "Sn", "Sn", "Sn", "Sn", "Sn", "Sn", "Sn", "Sn", "Pt", "Pt", "Pt", "Pt", "Pt", "Pt", "Pt", "Pt", "S", "S", "S", "S", "S", "S", "S", "S", "S", "S", "S", "S"],
  "fractional_positions": [[0.8584, 0.3455, 0.0026], [0.1416, 0.6545, 0.9974], [0.3594, 0.1543, 0.4987], [0.1543, 0.5013, 0.6406], [0.5013, 0.3594, 0.8457], [0.3455, 0.9974, 0.1416], [0.6406, 0.8457, 0.5013], [0.8457, 0.4987, 0.3594], [0.0026, 0.1416, 0.3455], [0.9974, 0.8584, 0.6545], [0.6545, 0.0026, 0.8584], [0.4987, 0.6406, 0.1543], [0.7576, 0.2544, 0.7446], [0.2424, 0.7456, 0.2554], [0.2544, 0.2554, 0.2424], [0.7456, 0.7446, 0.7576], [0.2554, 0.7576, 0.7456], [0.7543, 0.7543, 0.2457], [0.7446, 0.2424, 0.2544], [0.2457, 0.2457, 0.7543], [0.8507, 0.6501, 0.0027], [0.8521, 0.5051, 0.6487], [0.0027, 0.1493, 0.6501], [0.6501, 0.9973, 0.1493], [0.9973, 0.8507, 0.3499], [0.1479, 0.4949, 0.3513], [0.4949, 0.6487, 0.8521], [0.3513, 0.8521, 0.4949], [0.6487, 0.1479, 0.5051], [0.3499, 0.0027, 0.8507], [0.5051, 0.3513, 0.1479], [0.1493, 0.3499, 0.9973]]
}

***

[2]
{
  "formula": "SnPtS",
  "functional": "PBE",
  "state": "relaxed",
  "spacegroup": "P2_13",
  "formation_energy_uncorrected_ev_per_atom": -0.57,
  "density_g_cm3": 9.64,
  "magnetic_moment_mub_per_fu": 0.00,
  "lattice_angstrom": [[-6.1384, 0.8547, -0.1701], [-0.3191, -3.3308, -5.2195], [-0.8109, -5.1589, 3.3417]],
  "species": ["Sn", "Sn", "Sn", "Sn", "Pt", "Pt", "Pt", "Pt", "S", "S", "S", "S"],
  "fractional_positions": [[0.1199, 0.6199, 0.8801], [0.6199, 0.8801, 0.1199], [0.8801, 0.1199, 0.6199], [0.3801, 0.3801, 0.3801], [0.4878, 0.9878, 0.5122], [0.9878, 0.5122, 0.4878], [0.5122, 0.4878, 0.9878], [0.0122, 0.0122, 0.0122], [0.8810, 0.3810, 0.1190], [0.3810, 0.1190, 0.8810], [0.1190, 0.8810, 0.3810], [0.6190, 0.6190, 0.6190]]
}

***

[3]
{
  "formula": "SnPt2S6",
  "functional": "PBE",
  "state": "relaxed",
  "spacegroup": "C2/m",
  "formation_energy_uncorrected_ev_per_atom": -0.39,
  "density_g_cm3": 5.57,
  "magnetic_moment_mub_per_fu": 0.00,
  "lattice_angstrom": [[3.6183, 0.0000, 0.0000], [-1.8091, 5.8603, -2.1788], [0.0000, -1.2126, 10.3104]],
  "species": ["Sn", "Pt", "Pt", "S", "S", "S", "S", "S", "S"],
  "fractional_positions": [[0.0000, 0.0000, 0.5000], [0.6688, 0.3377, 0.8357], [0.3312, 0.6623, 0.1643], [0.0259, 0.0518, 0.7617], [0.6880, 0.3760, 0.0763], [0.3120, 0.6240, 0.9237], [0.6660, 0.3319, 0.6027], [0.3340, 0.6681, 0.3973], [0.9741, 0.9482, 0.2383]]
}